First-principles (PBE-GGA) data for TbMgSn2Os2 after structural relaxation, as listed in OQMD.

The space group is P4mm (No. 99) and the conventional cell measures 4.482, 4.482 and 6.550 Å, with angles of 90.00, 90.00 and 90.00 degrees. Symmetry generates all atoms from Tb at (0.000, 0.000, 0.000), Mg at (0.500, 0.500, 0.439), Sn at (0.000, 0.000, 0.481), Sn at (0.500, 0.500, 0.953) and Os at (0.000, 0.500, 0.713).

As for the total energy: -0.4582 Ry per atom.


First-principles (PBE-GGA) data for SrMgTeOs after structural relaxation, as listed in OQMD.

The space group is F-43m (No. 216) and the conventional cell measures 7.043, 7.043 and 7.043 Å, with angles of 90.00, 90.00 and 90.00 degrees. Symmetry generates all atoms from Sr at (0.000, 0.000, 0.000), Mg at (0.250, 0.250, 0.250), Te at (0.000, 0.000, 0.500) and Os at (0.250, 0.250, 0.750).

The value obtained for the energy above the most stable polymorph in this dataset is 73 kJ/mol of formula units.


First-principles (PBE-GGA) data for SrMgTeOs after structural relaxation, as listed in OQMD.

The space group is F-43m (No. 216) and the conventional cell measures 7.259, 7.259 and 7.259 Å, with angles of 90.00, 90.00 and 90.00 degrees. Symmetry generates all atoms from Sr at (0.000, 0.000, 0.000), Mg at (0.000, 0.000, 0.500), Te at (0.250, 0.250, 0.750) and Os at (0.250, 0.250, 0.250).

The value obtained for the energy above the most stable polymorph in this dataset is 58 kJ/mol of formula units.


First-principles (PBE-GGA) data for SrMgTeOs after structural relaxation, as listed in OQMD.

The space group is F-43m (No. 216) and the conventional cell measures 7.027, 7.027 and 7.027 Å, with angles of 90.00, 90.00 and 90.00 degrees. Symmetry generates all atoms from Sr at (0.000, 0.000, 0.000), Mg at (0.250, 0.250, 0.250), Te at (0.250, 0.250, 0.750) and Os at (0.000, 0.000, 0.500).

The value obtained for the energy above the most stable polymorph in this dataset is 0 kJ/mol of formula units.


First-principles (PBE-GGA) data for SrMgOsW after structural relaxation, as listed in OQMD.

The space group is F-43m (No. 216) and the conventional cell measures 6.833, 6.833 and 6.833 Å, with angles of 90.00, 90.00 and 90.00 degrees. Symmetry generates all atoms from Sr at (0.000, 0.000, 0.000), Mg at (0.000, 0.000, 0.500), Os at (0.250, 0.250, 0.750) and W at (0.250, 0.250, 0.250).

The value obtained for the energy above the most stable polymorph in this dataset is 253 kJ/mol of formula units.


First-principles (PBE-GGA) data for SrMgOsW after structural relaxation, as listed in OQMD.

The space group is F-43m (No. 216) and the conventional cell measures 6.769, 6.769 and 6.769 Å, with angles of 90.00, 90.00 and 90.00 degrees. Symmetry generates all atoms from Sr at (0.000, 0.000, 0.000), Mg at (0.250, 0.250, 0.750), Os at (0.250, 0.250, 0.250) and W at (0.000, 0.000, 0.500).

The value obtained for the energy above the most stable polymorph in this dataset is 42 kJ/mol of formula units.


First-principles (PBE-GGA) data for SrMgOsW after structural relaxation, as listed in OQMD.

The space group is F-43m (No. 216) and the conventional cell measures 6.691, 6.691 and 6.691 Å, with angles of 90.00, 90.00 and 90.00 degrees. Symmetry generates all atoms from Sr at (0.000, 0.000, 0.000), Mg at (0.250, 0.250, 0.750), Os at (0.000, 0.000, 0.500) and W at (0.250, 0.250, 0.250).

The value obtained for the energy above the most stable polymorph in this dataset is 0 kJ/mol of formula units.


First-principles (PBE-GGA) data for MgTa4Os5 after structural relaxation, as listed in OQMD.

The space group is P4/mmm (No. 123) and the conventional cell measures 3.182, 3.182 and 15.813 Å, with angles of 90.00, 90.00 and 90.00 degrees. Symmetry generates all atoms from Mg at (0.000, 0.000, 0.000), Ta at (0.000, 0.000, 0.194), Ta at (0.000, 0.000, 0.399), Os at (0.500, 0.500, 0.104), Os at (0.500, 0.500, 0.300) and Os at (0.500, 0.500, 0.500).

As for the total energy: -0.7918 Ry per atom.


First-principles (PBE-GGA) data for MgZnTeOs after structural relaxation, as listed in OQMD.

The space group is F-43m (No. 216) and the conventional cell measures 6.528, 6.528 and 6.528 Å, with angles of 90.00, 90.00 and 90.00 degrees. Symmetry generates all atoms from Mg at (0.000, 0.000, 0.000), Zn at (0.250, 0.250, 0.750), Te at (0.250, 0.250, 0.250) and Os at (0.000, 0.000, 0.500).

The value obtained for the energy above the most stable polymorph in this dataset is 0 kJ/mol of formula units.


First-principles (PBE-GGA) data for TmMgOs3 after structural relaxation, as listed in OQMD.

The space group is Pm-3m (No. 221) and the conventional cell measures 4.537, 4.537 and 4.537 Å, with angles of 90.00, 90.00 and 90.00 degrees. Symmetry generates all atoms from Tm at (0.000, 0.000, 0.000), Mg at (0.500, 0.500, 0.500) and Os at (0.000, 0.500, 0.500).

As for the total energy: -0.4737 Ry per atom.


First-principles (PBE-GGA) data for TmMgOs after structural relaxation, as listed in OQMD.

The space group is F-43m (No. 216) and the conventional cell measures 6.342, 6.342 and 6.342 Å, with angles of 90.00, 90.00 and 90.00 degrees. Symmetry generates all atoms from Tm at (0.000, 0.000, 0.000), Mg at (0.250, 0.250, 0.750) and Os at (0.000, 0.000, 0.500).

As for the total energy: -0.3785 Ry per atom.


First-principles (PBE-GGA) data for Tm2Mg3Os after structural relaxation, as listed in OQMD.

The space group is P6_3/mmc (No. 194) and the conventional cell measures 5.5814, 5.5814 and 9.5377 Å, with angles of 90.00, 90.00 and 120.00 degrees. Symmetry generates all atoms from Tm at (0.3333, 0.6667, 0.0516), Mg at (0.1626, 0.3253, 0.7500) and Os at (0.0000, 0.0000, 0.0000).

As for the total energy: -0.3064 Ry per atom.


First-principles (PBE-GGA) data for TmMgOs after structural relaxation, as listed in OQMD.

The space group is F-43m (No. 216) and the conventional cell measures 6.533, 6.533 and 6.533 Å, with angles of 90.00, 90.00 and 90.00 degrees. Symmetry generates all atoms from Tm at (0.000, 0.000, 0.000), Mg at (0.250, 0.250, 0.750) and Os at (0.250, 0.250, 0.250).

As for the total energy: -0.3605 Ry per atom.


First-principles (PBE-GGA) data for MgZnOsW after structural relaxation, as listed in OQMD.

The space group is F-43m (No. 216) and the conventional cell measures 6.230, 6.230 and 6.230 Å, with angles of 90.00, 90.00 and 90.00 degrees. Symmetry generates all atoms from Mg at (0.000, 0.000, 0.000), Zn at (0.250, 0.250, 0.750), Os at (0.250, 0.250, 0.250) and W at (0.000, 0.000, 0.500).

The value obtained for the energy above the most stable polymorph in this dataset is 0 kJ/mol of formula units.


First-principles (PBE-GGA) data for MgZnOsW after structural relaxation, as listed in OQMD.

The space group is F-43m (No. 216) and the conventional cell measures 6.217, 6.217 and 6.217 Å, with angles of 90.00, 90.00 and 90.00 degrees. Symmetry generates all atoms from Mg at (0.000, 0.000, 0.000), Zn at (0.000, 0.000, 0.500), Os at (0.250, 0.250, 0.750) and W at (0.250, 0.250, 0.250).

The value obtained for the energy above the most stable polymorph in this dataset is 237 kJ/mol of formula units.


Number 1: calculated volume 21.9 Å³ per atom. Number 2: calculated volume 21.8 Å³ per atom. Number 3: calculated volume 23.9 Å³ per atom. Number 4: calculated volume 21.7 Å³ per atom. Number 5: calculated volume 19.9 Å³ per atom. Number 6: calculated volume 19.4 Å³ per atom. Number 7: calculated volume 18.7 Å³ per atom. Number 8: calculated volume 16.0 Å³ per atom. Number 9: calculated volume 17.4 Å³ per atom. Number 10: calculated volume 18.7 Å³ per atom. Number 11: calculated volume 21.3 Å³ per atom. Number 12: calculated volume 21.4 Å³ per atom. Number 13: calculated volume 23.2 Å³ per atom. Number 14: calculated volume 15.1 Å³ per atom. Number 15: calculated volume 15.0 Å³ per atom.